[1]
VASP calculation (GGA-PBE) on crystalline KTaAl at its relaxed geometry.

a = 3.0021 Å, b = 3.0021 Å, c = 8.6157 Å
α = 90.00°, β = 90.00°, γ = 120.00°
Site moments in Bohr magnetons follow the coordinates.
Fractional coordinates of all 3 atoms:
K  0.6667  0.3333  0.3273  0.01
Al  0.0000  0.0000  0.9693  0.01
Ta  0.3333  0.6667  0.7034  0.12

Total moment: 0.27 μB/cell
Calculated total energy: -14.74 eV/f.u.
Density: 6.10 g cm⁻³
Formation energy from the elements: 0.65 eV per atom



[2]
VASP calculation (GGA-PBE) on crystalline FeSb2I at its relaxed geometry.

a = 5.2184 Å, b = 5.2184 Å, c = 5.2184 Å
α = 60.00°, β = 60.00°, γ = 60.00°
Site moments in Bohr magnetons follow the coordinates.
Fractional coordinates of all 4 atoms:
I  0.5000  0.5000  0.5000  -0.05
Sb  0.2500  0.2500  0.2500  -0.09
Sb  0.7500  0.7500  0.7500  -0.09
Fe  0.0000  0.0000  0.0000  3.02

Total moment: 2.59 μB/cell
Calculated total energy: -15.05 eV/f.u.
Density: 7.04 g cm⁻³
Formation energy from raw total energies: 0.8028 eV/atom



[3]
VASP calculation (GGA-PBE) on crystalline Li2BeMo at its relaxed geometry.

a = 2.5065 Å, b = 2.5065 Å, c = 8.8489 Å
α = 90.00°, β = 90.00°, γ = 90.00°
Fractional coordinates of all 4 atoms:
Be  0.5000  0.5000  0.7500
Li  0.0000  0.0000  0.9795
Li  0.0000  0.0000  0.5205
Mo  0.5000  0.5000  0.2500

Total moment: 0.00 μB/cell
Calculated total energy: -16.74 eV/f.u.
Density: 3.55 g cm⁻³
Formation energy from the elements: 0.41 eV per atom



[4]
VASP calculation (GGA-PBE) on crystalline Tb3TlSn at its relaxed geometry.

a = 4.7992 Å, b = 8.7181 Å, c = 8.7790 Å
α = 88.18°, β = 90.00°, γ = 105.98°
Fractional coordinates of all 10 atoms:
Tb  0.0404  0.0808  0.2145
Tb  0.9596  0.9192  0.7855
Tb  0.7429  0.4859  0.8342
Tb  0.2571  0.5141  0.1658
Tb  0.8321  0.6642  0.4452
Tb  0.1679  0.3358  0.5548
Tl  0.3529  0.7059  0.6694
Tl  0.6471  0.2941  0.3306
Sn  0.1284  0.2568  0.9058
Sn  0.8716  0.7432  0.0942

Total moment: 0.00 μB/cell
Calculated total energy: -21.02 eV/f.u.
Density: 7.53 g cm⁻³
Formation energy from the elements: -0.15 eV per atom



[5]
VASP calculation (GGA-PBE) on crystalline BaAlAs2 at its relaxed geometry.

a = 7.6353 Å, b = 7.6353 Å, c = 6.6589 Å
α = 55.02°, β = 55.02°, γ = 90.00°
Fractional coordinates of all 8 atoms:
As  0.5391  0.1250  0.2500
As  0.2109  0.6250  0.2500
As  0.3750  0.4609  0.7500
As  0.8750  0.7891  0.7500
Ba  0.0000  0.0000  0.0000
Ba  0.7500  0.2500  0.5000
Al  0.5000  0.5000  0.0000
Al  0.2500  0.7500  0.5000

Total moment: 0.00 μB/cell
Calculated total energy: -17.53 eV/f.u.
Density: 4.59 g cm⁻³
Formation energy from the elements: -0.64 eV per atom



[6]
VASP calculation (GGA-PBE) on crystalline Sr2HoAs3Rh4 at its relaxed geometry.

a = 4.2208 Å, b = 4.2208 Å, c = 11.2655 Å
α = 90.00°, β = 90.00°, γ = 90.00°
Fractional coordinates of all 10 atoms:
Sr  0.5000  0.0000  0.2339
Sr  0.0000  0.5000  0.7661
Ho  0.5000  0.5000  0.5000
As  0.0000  0.0000  0.5000
As  0.5000  0.0000  0.8746
As  0.0000  0.5000  0.1254
Rh  0.5000  0.5000  0.0000
Rh  0.0000  0.0000  0.0000
Rh  0.5000  0.0000  0.6554
Rh  0.0000  0.5000  0.3446

Total moment: 0.00 μB/cell
Calculated total energy: -59.68 eV/f.u.
Density: 8.08 g cm⁻³
Formation energy from the elements: -0.84 eV per atom



[7]
VASP calculation (GGA-PBE) on crystalline Sr2EuGa at its relaxed geometry.

a = 3.9320 Å, b = 3.9320 Å, c = 10.2643 Å
α = 90.00°, β = 90.00°, γ = 90.00°
Site moments in Bohr magnetons follow the coordinates.
Fractional coordinates of all 4 atoms:
Eu  0.5000  0.5000  0.5000  7.04
Sr  0.0000  0.0000  0.8160  0.03
Sr  0.0000  0.0000  0.1840  0.03
Ga  0.5000  0.5000  0.0000  0.00

Total moment: 7.98 μB/cell
Calculated total energy: -17.31 eV/f.u.
Density: 4.15 g cm⁻³
Formation energy from the elements: -0.16 eV per atom



[8]
VASP calculation (GGA-PBE) on crystalline Pr2NdDy9 at its relaxed geometry.

a = 3.5202 Å, b = 11.3417 Å, c = 11.3417 Å
α = 120.00°, β = 90.00°, γ = 90.00°
Fractional coordinates of all 12 atoms:
Pr  0.0000  0.3333  0.6667
Pr  0.0000  0.6667  0.3333
Nd  0.0000  0.0000  0.0000
Dy  0.0000  0.0000  0.5000
Dy  0.0000  0.5000  0.5000
Dy  0.0000  0.5000  0.0000
Dy  0.5000  0.3494  0.1747
Dy  0.5000  0.1747  0.8253
Dy  0.5000  0.1747  0.3494
Dy  0.5000  0.8253  0.6506
Dy  0.5000  0.8253  0.1747
Dy  0.5000  0.6506  0.8253

Total moment: 0.00 μB/cell
Calculated total energy: -54.99 eV/f.u.
Density: 8.00 g cm⁻³
Formation energy from the elements: 0.06 eV per atom